VASP calculation (PBE-GGA) on a relaxed Tl2CdHg crystal.

a = 6.3753 Å, b = 6.3753 Å, c = 6.3753 Å
α = 145.77°, β = 128.51°, γ = 63.29°
Closest atoms and distances in Å follow each position.
Fractional coordinates of all 4 atoms:
Tl: 0.2463 0.2463 0.0000  2 Cd 3.27, 2 Hg 3.33, 4 Tl 3.35
Tl: 0.7537 0.7537 0.0000  2 Cd 3.27, 2 Hg 3.33, 4 Tl 3.35
Cd: 0.0000 0.5000 0.5000  4 Tl 3.27, 4 Hg 3.34
Hg: 0.5000 0.0000 0.5000  4 Tl 3.33, 4 Cd 3.34

Properties
* offset from the most stable computed form: 0.027 eV per atom
* SG: No. 71
* crystal system: orthorhombic

---

VASP calculation (PBE-GGA) on a relaxed TlCd2Hg crystal.

a = 6.7336 Å, b = 6.7336 Å, c = 6.7336 Å
α = 102.49°, β = 102.49°, γ = 124.58°
Closest atoms and distances in Å follow each position.
Fractional coordinates of all 8 atoms:
Tl: 0.0000 0.0000 0.0000  2 Hg 3.13, 4 Cd 3.17
Tl: 0.7500 0.2500 0.5000  2 Hg 3.13, 4 Cd 3.17
Cd: 0.1403 0.6250 0.0153  2 Hg 3.00, 2 Cd 3.14, 2 Tl 3.17
Cd: 0.3750 0.3903 0.5153  2 Hg 3.00, 2 Cd 3.14, 2 Tl 3.17
Cd: 0.6097 0.1250 0.9847  2 Hg 3.00, 2 Cd 3.14, 2 Tl 3.17
Cd: 0.8750 0.8597 0.4847  2 Hg 3.00, 2 Cd 3.14, 2 Tl 3.17
Hg: 0.2500 0.7500 0.5000  4 Cd 3.00, 2 Tl 3.13
Hg: 0.5000 0.5000 0.0000  4 Cd 3.00, 2 Tl 3.13

Properties
* offset from the most stable computed form: 0.048 eV per atom
* SG: No. 122
* crystal system: tetragonal

---

VASP calculation (PBE-GGA) on a relaxed Tl4CdHg4 crystal.

a = 8.5887 Å, b = 8.5887 Å, c = 8.5887 Å
α = 92.54°, β = 92.54°, γ = 155.68°
Closest atoms and distances in Å follow each position.
Fractional coordinates of all 9 atoms:
Tl: 0.0074 0.3248 0.3322  4 Hg 3.27-3.28, 6 Tl 3.46-3.62
Tl: 0.3248 0.9926 0.3174  4 Hg 3.27-3.28, 6 Tl 3.46-3.62
Tl: 0.6752 0.0074 0.6826  4 Hg 3.27-3.28, 6 Tl 3.46-3.62
Tl: 0.9926 0.6752 0.6678  4 Hg 3.27-3.28, 6 Tl 3.46-3.62
Cd: 0.0000 0.0000 0.0000  8 Hg 3.31, 2 Cd 3.62
Hg: 0.3315 0.3386 0.6701  4 Tl 3.27-3.28, 2 Cd 3.31, 4 Hg 3.38-3.62
Hg: 0.3386 0.6685 0.0070  4 Tl 3.27-3.28, 2 Cd 3.31, 4 Hg 3.38-3.62
Hg: 0.6614 0.3315 0.9930  4 Tl 3.27-3.28, 2 Cd 3.31, 4 Hg 3.38-3.62
Hg: 0.6685 0.6614 0.3299  4 Tl 3.27-3.28, 2 Cd 3.31, 4 Hg 3.38-3.62

Properties
* offset from the most stable computed form: 0.000 eV per atom
* SG: No. 87
* crystal system: tetragonal

---

VASP calculation (PBE-GGA) on a relaxed Tl3Cd3Hg4 crystal.

a = 4.5303 Å, b = 7.8878 Å, c = 7.8878 Å
α = 92.32°, β = 90.00°, γ = 90.00°
Closest atoms and distances in Å follow each position.
Fractional coordinates of all 10 atoms:
Tl: 0.0000 0.0000 0.0000  6 Hg 3.24-3.41, 5 Cd 3.45-3.60
Tl: 0.0000 0.1960 0.5212  6 Hg 3.24-3.34, 2 Cd 3.50
Tl: 0.0000 0.5212 0.1960  6 Hg 3.24-3.34, 2 Cd 3.50
Cd: 0.0000 0.6840 0.6840  6 Hg 2.98-3.12
Cd: 0.5000 0.3118 0.8441  4 Hg 2.99-3.13
Cd: 0.5000 0.8441 0.3118  4 Hg 2.99-3.13
Hg: 0.5000 0.2121 0.2121  2 Cd 3.04, 1 Hg 3.22, 6 Tl 3.24-3.33
Hg: 0.5000 0.5066 0.5066  4 Cd 2.98-3.13, 1 Hg 3.22
Hg: 0.5000 0.6786 0.9553  4 Cd 2.99-3.12, 1 Hg 3.15, 2 Tl 3.24
Hg: 0.5000 0.9553 0.6786  4 Cd 2.99-3.12, 1 Hg 3.15, 2 Tl 3.24

Properties
* offset from the most stable computed form: 0.000 eV per atom
* SG: No. 38
* crystal system: orthorhombic

---

VASP calculation (PBE-GGA) on a relaxed TlCdHg2 crystal.

a = 3.5504 Å, b = 4.9967 Å, c = 6.3091 Å
α = 90.00°, β = 105.00°, γ = 90.00°
Closest atoms and distances in Å follow each position.
Fractional coordinates of all 4 atoms:
Tl: 0.0000 0.0000 0.0000  2 Cd 3.19, 4 Hg 3.33, 2 Tl 3.55
Cd: 0.5000 0.0000 0.5000  4 Hg 3.08, 2 Tl 3.19
Hg: 0.3033 0.5000 0.7369  2 Cd 3.08, 2 Hg 3.20-3.25, 2 Tl 3.33
Hg: 0.6967 0.5000 0.2631  2 Cd 3.08, 2 Hg 3.20-3.25, 2 Tl 3.33

Properties
* offset from the most stable computed form: 0.029 eV per atom
* SG: No. 10
* crystal system: monoclinic

---

VASP calculation (PBE-GGA) on a relaxed TlCd2Hg2 crystal.

a = 7.6788 Å, b = 7.6788 Å, c = 7.6788 Å
α = 146.32°, β = 146.32°, γ = 48.36°
Closest atoms and distances in Å follow each position.
Fractional coordinates of all 5 atoms:
Tl: 0.0000 0.0000 0.0000  8 Cd 3.45
Cd: 0.3983 0.3983 0.0000  1 Cd 2.85, 4 Hg 3.04
Cd: 0.6017 0.6017 0.0000  1 Cd 2.85, 4 Hg 3.04
Hg: 0.2500 0.7500 0.5000  4 Cd 3.04, 4 Hg 3.15
Hg: 0.7500 0.2500 0.5000  4 Cd 3.04, 4 Hg 3.15

Properties
* offset from the most stable computed form: 0.028 eV per atom
* SG: No. 139
* crystal system: tetragonal

---

VASP calculation (PBE-GGA) on a relaxed Tl5CdHg2 crystal.

a = 6.7805 Å, b = 13.6065 Å, c = 5.0308 Å
α = 90.00°, β = 90.00°, γ = 90.00°
Closest atoms and distances in Å follow each position.
Fractional coordinates of all 16 atoms:
Tl: 0.0000 0.0000 0.0000  4 Hg 3.26, 2 Cd 3.39, 2 Tl 3.62
Tl: 0.1250 0.2586 0.0000  4 Hg 3.27-3.65, 1 Cd 3.39, 7 Tl 3.40-3.65
Tl: 0.1719 0.6148 0.5000  2 Cd 3.18, 4 Hg 3.34-3.49, 2 Tl 3.47
Tl: 0.3281 0.1148 0.5000  2 Cd 3.18, 4 Hg 3.34-3.49, 2 Tl 3.47
Tl: 0.3750 0.7586 0.0000  4 Hg 3.27-3.65, 1 Cd 3.39, 7 Tl 3.40-3.65
Tl: 0.5000 0.5000 0.0000  4 Hg 3.26, 2 Cd 3.39, 2 Tl 3.62
Tl: 0.6250 0.2414 0.0000  4 Hg 3.27-3.65, 1 Cd 3.39, 7 Tl 3.40-3.65
Tl: 0.6719 0.8852 0.5000  2 Cd 3.18, 4 Hg 3.34-3.49, 2 Tl 3.47
Tl: 0.8281 0.3852 0.5000  2 Cd 3.18, 4 Hg 3.34-3.49, 2 Tl 3.47
Tl: 0.8750 0.7414 0.0000  4 Hg 3.27-3.65, 1 Cd 3.39, 7 Tl 3.40-3.65
Cd: 0.0000 0.5000 0.0000  8 Tl 3.18-3.39
Cd: 0.5000 0.0000 0.0000  8 Tl 3.18-3.39
Hg: 0.1642 0.8713 0.5000  10 Tl 3.26-3.65
Hg: 0.3358 0.3713 0.5000  10 Tl 3.26-3.65
Hg: 0.6642 0.6287 0.5000  10 Tl 3.26-3.65
Hg: 0.8358 0.1287 0.5000  10 Tl 3.26-3.65

Properties
* offset from the most stable computed form: 0.011 eV per atom
* SG: No. 55
* crystal system: orthorhombic

---

VASP calculation (PBE-GGA) on a relaxed Tl2CdHg crystal.

a = 11.1515 Å, b = 11.1515 Å, c = 11.1515 Å
α = 17.67°, β = 17.67°, γ = 17.67°
Closest atoms and distances in Å follow each position.
Fractional coordinates of all 4 atoms:
Tl: 0.2490 0.2490 0.2490  3 Cd 3.36, 3 Hg 3.41, 6 Tl 3.43
Tl: 0.7510 0.7510 0.7510  3 Cd 3.36, 3 Hg 3.41, 6 Tl 3.43
Cd: 0.5000 0.5000 0.5000  6 Tl 3.36, 6 Cd 3.43
Hg: 0.0000 0.0000 0.0000  6 Tl 3.41, 6 Hg 3.43

Properties
* offset from the most stable computed form: 0.009 eV per atom
* SG: No. 166
* crystal system: trigonal

---

VASP calculation (PBE-GGA) on a relaxed Tl3Cd5Hg6 crystal.

a = 5.1288 Å, b = 13.3589 Å, c = 10.8971 Å
α = 90.00°, β = 90.00°, γ = 90.00°
Closest atoms and distances in Å follow each position.
Fractional coordinates of all 28 atoms:
Tl: 0.2500 0.0276 0.2499  7 Hg 3.36-3.62, 5 Cd 3.56-3.75, 1 Tl 3.71
Tl: 0.2500 0.4724 0.2499  7 Hg 3.36-3.62, 5 Cd 3.56-3.75, 1 Tl 3.71
Tl: 0.2500 0.7500 0.2436  6 Cd 3.37-3.41, 6 Hg 3.65-3.77, 2 Tl 3.71
Tl: 0.7500 0.2500 0.7564  6 Cd 3.37-3.41, 6 Hg 3.65-3.77, 2 Tl 3.71
Tl: 0.7500 0.5276 0.7501  7 Hg 3.36-3.62, 5 Cd 3.56-3.75, 1 Tl 3.71
Tl: 0.7500 0.9724 0.7501  7 Hg 3.36-3.62, 5 Cd 3.56-3.75, 1 Tl 3.71
Cd: 0.2500 0.1262 0.6248  5 Hg 2.93-3.10
Cd: 0.2500 0.3738 0.6248  5 Hg 2.93-3.10
Cd: 0.2500 0.6248 0.9710  5 Hg 2.98-3.15, 1 Cd 3.05
Cd: 0.2500 0.7500 0.7366  6 Hg 2.96-3.14, 2 Cd 3.05
Cd: 0.2500 0.8752 0.9710  5 Hg 2.98-3.15, 1 Cd 3.05
Cd: 0.7500 0.1248 0.0290  5 Hg 2.98-3.15, 1 Cd 3.05
Cd: 0.7500 0.2500 0.2634  6 Hg 2.96-3.14, 2 Cd 3.05
Cd: 0.7500 0.3752 0.0290  5 Hg 2.98-3.15, 1 Cd 3.05
Cd: 0.7500 0.6262 0.3752  5 Hg 2.93-3.10
Cd: 0.7500 0.8738 0.3752  5 Hg 2.93-3.10
Hg: 0.2500 0.0882 0.8893  4 Cd 2.93-3.02, 1 Hg 3.13
Hg: 0.2500 0.2500 0.0969  3 Hg 3.13-3.30, 6 Cd 3.14-3.15, 2 Tl 3.41
Hg: 0.2500 0.2500 0.3997  4 Cd 2.96, 1 Hg 3.30
Hg: 0.2500 0.4118 0.8893  4 Cd 2.93-3.02, 1 Hg 3.13
Hg: 0.2500 0.5920 0.5298  4 Cd 3.09-3.10, 2 Hg 3.41, 1 Tl 3.44
Hg: 0.2500 0.9080 0.5298  4 Cd 3.09-3.10, 2 Hg 3.41, 1 Tl 3.44
Hg: 0.7500 0.0920 0.4702  4 Cd 3.09-3.10, 2 Hg 3.41, 1 Tl 3.44
Hg: 0.7500 0.4080 0.4702  4 Cd 3.09-3.10, 2 Hg 3.41, 1 Tl 3.44
Hg: 0.7500 0.5882 0.1107  4 Cd 2.93-3.02, 1 Hg 3.13
Hg: 0.7500 0.7500 0.6003  4 Cd 2.96, 1 Hg 3.30
Hg: 0.7500 0.7500 0.9031  3 Hg 3.13-3.30, 6 Cd 3.14-3.15, 2 Tl 3.41
Hg: 0.7500 0.9118 0.1107  4 Cd 2.93-3.02, 1 Hg 3.13

Properties
* SG: No. 59
* crystal system: orthorhombic
* E_tot: -0.949 eV per atom

---

VASP calculation (PBE-GGA) on a relaxed Tl3CdHg2 crystal.

a = 8.8023 Å, b = 8.8023 Å, c = 3.4964 Å
α = 90.00°, β = 90.00°, γ = 141.20°
Closest atoms and distances in Å follow each position.
Fractional coordinates of all 6 atoms:
Tl: 0.0000 0.0000 0.0000  4 Cd 3.41, 6 Tl 3.47-3.50
Tl: 0.1809 0.8191 0.5000  6 Hg 3.30-3.44, 4 Tl 3.47-3.50
Tl: 0.8191 0.1809 0.5000  6 Hg 3.30-3.44, 4 Tl 3.47-3.50
Cd: 0.5000 0.5000 0.5000  4 Hg 3.05, 4 Tl 3.41
Hg: 0.3493 0.6507 0.0000  2 Cd 3.05, 2 Tl 3.30
Hg: 0.6507 0.3493 0.0000  2 Cd 3.05, 2 Tl 3.30

Properties
* offset from the most stable computed form: 0.000 eV per atom
* SG: No. 65
* crystal system: orthorhombic

---

Copy entry 6 word for word.
VASP calculation (PBE-GGA) on a relaxed TlCd2Hg2 crystal.

a = 7.6788 Å, b = 7.6788 Å, c = 7.6788 Å
α = 146.32°, β = 146.32°, γ = 48.36°
Closest atoms and distances in Å follow each position.
Fractional coordinates of all 5 atoms:
Tl: 0.0000 0.0000 0.0000  8 Cd 3.45
Cd: 0.3983 0.3983 0.0000  1 Cd 2.85, 4 Hg 3.04
Cd: 0.6017 0.6017 0.0000  1 Cd 2.85, 4 Hg 3.04
Hg: 0.2500 0.7500 0.5000  4 Cd 3.04, 4 Hg 3.15
Hg: 0.7500 0.2500 0.5000  4 Cd 3.04, 4 Hg 3.15

Properties
* offset from the most stable computed form: 0.028 eV per atom
* SG: No. 139
* crystal system: tetragonal